PmNd3Sc (PBE, optimized geometry); ΔE_f = 26 meV/atom; electronic total energy = -50.512 eV for the cell shown
1.0
-2.402 2.630 0.640
-1.100 -6.619 2.603
8.891 8.248 9.722
Pm Nd Sc
2 6 2
Cartesian
4.939 5.135 7.693 Pm
0.450 -0.875 5.272 Pm
4.090 2.410 5.439 Nd
-1.627 0.369 2.600 Nd
-2.122 -2.932 4.063 Nd
1.299 1.850 7.526 Nd
7.512 7.192 8.902 Nd
7.016 3.891 10.365 Nd
4.432 1.873 8.970 Sc
0.957 2.387 3.995 Sc